1.
{"formula": "MnCrRhO6", "functional": "PBE with a Hubbard U", "state": "relaxed", "cell": [[4.995, 0.000, 0.000], [-2.498, 4.326, 0.000], [0.000, 0.000, 8.669]], "species": ["Mn", "Mn", "Cr", "Cr", "Rh", "Rh", "O", "O", "O", "O", "O", "O", "O", "O", "O", "O", "O", "O"], "fractional_positions": [[0.000, 0.000, 0.000], [0.000, 0.000, 0.500], [0.333, 0.667, 0.250], [0.667, 0.333, 0.750], [0.333, 0.667, 0.750], [0.667, 0.333, 0.250], [0.004, 0.345, 0.125], [0.004, 0.658, 0.375], [0.342, 0.345, 0.375], [0.342, 0.996, 0.125], [0.345, 0.004, 0.625], [0.345, 0.342, 0.875], [0.655, 0.658, 0.125], [0.655, 0.996, 0.375], [0.658, 0.004, 0.875], [0.658, 0.655, 0.625], [0.996, 0.342, 0.625], [0.996, 0.655, 0.875]], "dft_energy_ev_per_atom": -6.908, "sg": "P-31c, No. 163", "total_magnetization_mub_per_cell": 7.949, "density_g_cm3": 5.42}



2.
{"formula": "MnCrRh2O", "functional": "PBE with a Hubbard U", "state": "relaxed", "cell": [[4.476, 0.000, 0.000], [0.000, 4.476, 0.000], [0.000, 0.000, 4.918]], "species": ["Mn", "Cr", "Rh", "Rh", "O"], "fractional_positions": [[0.000, 0.000, 0.000], [0.000, 0.000, 0.500], [0.000, 0.500, 0.500], [0.500, 0.000, 0.500], [0.500, 0.500, 0.000]], "dft_energy_ev_per_atom": -4.950, "sg": "P4/mmm, No. 123", "total_magnetization_mub_per_cell": 1.169, "density_g_cm3": 5.54}



3.
{"formula": "MnCr2SbO8", "functional": "PBE with a Hubbard U", "state": "relaxed", "cell": [[3.219, -3.266, 0.000], [3.219, 3.266, 0.000], [0.000, 0.000, 6.083]], "species": ["Mn", "Cr", "Cr", "Sb", "O", "O", "O", "O", "O", "O", "O", "O"], "fractional_positions": [[0.000, 0.000, 0.000], [0.500, 0.500, 0.244], [0.500, 0.500, 0.756], [0.000, 0.000, 0.500], [0.193, 0.807, 0.244], [0.193, 0.807, 0.756], [0.303, 0.303, 0.000], [0.309, 0.309, 0.500], [0.691, 0.691, 0.500], [0.697, 0.697, 0.000], [0.807, 0.193, 0.244], [0.807, 0.193, 0.756]], "dft_energy_ev_per_atom": -7.068, "sg": "Cmmm, No. 65", "total_magnetization_mub_per_cell": 8.000, "density_g_cm3": 5.31}



4.
{"formula": "Mn3Cr2Sb3O16", "functional": "PBE with a Hubbard U", "state": "relaxed", "cell": [[5.300, -3.016, 0.000], [5.300, 3.016, 0.000], [-0.021, 0.000, 9.053]], "species": ["Mn", "Mn", "Mn", "Cr", "Cr", "Sb", "Sb", "Sb", "O", "O", "O", "O", "O", "O", "O", "O", "O", "O", "O", "O", "O", "O", "O", "O"], "fractional_positions": [[0.000, 0.000, 0.000], [0.168, 0.666, 0.494], [0.666, 0.168, 0.494], [0.161, 0.161, 0.278], [0.490, 0.490, 0.768], [0.000, 0.498, 0.994], [0.498, 0.000, 0.994], [0.667, 0.667, 0.495], [0.160, 0.667, 0.890], [0.180, 0.180, 0.870], [0.308, 0.879, 0.122], [0.309, 0.309, 0.132], [0.347, 0.783, 0.622], [0.356, 0.356, 0.614], [0.495, 0.495, 0.384], [0.500, 0.999, 0.389], [0.664, 0.664, 0.880], [0.667, 0.160, 0.890], [0.783, 0.347, 0.622], [0.818, 0.818, 0.112], [0.837, 0.837, 0.601], [0.879, 0.308, 0.122], [0.992, 0.992, 0.387], [0.999, 0.500, 0.389]], "dft_energy_ev_per_atom": -6.816, "sg": "Cm, No. 8", "total_magnetization_mub_per_cell": 16.000, "density_g_cm3": 5.11}



5.
{"formula": "Mn2CrSbO6", "functional": "PBE with a Hubbard U", "state": "relaxed", "cell": [[2.678, 1.546, 4.623], [-2.678, 1.546, 4.623], [0.000, -3.092, 4.623]], "species": ["Mn", "Mn", "Cr", "Sb", "O", "O", "O", "O", "O", "O"], "fractional_positions": [[0.000, 0.000, 0.000], [0.499, 0.499, 0.499], [0.218, 0.218, 0.218], [0.717, 0.717, 0.717], [0.082, 0.444, 0.846], [0.349, 0.939, 0.586], [0.444, 0.846, 0.082], [0.586, 0.349, 0.939], [0.846, 0.082, 0.444], [0.939, 0.586, 0.349]], "dft_energy_ev_per_atom": -7.295, "sg": "R3, No. 146", "total_magnetization_mub_per_cell": 13.000, "density_g_cm3": 5.49}



6.
{"formula": "Mn2CrSbO6", "functional": "PBE with a Hubbard U", "state": "relaxed", "cell": [[5.302, 0.000, 0.000], [0.000, 5.460, 0.000], [-5.264, 0.000, 7.693]], "species": ["Mn", "Mn", "Mn", "Mn", "Cr", "Cr", "Sb", "Sb", "O", "O", "O", "O", "O", "O", "O", "O", "O", "O", "O", "O"], "fractional_positions": [[0.235, 0.051, 0.248], [0.235, 0.449, 0.748], [0.765, 0.551, 0.252], [0.765, 0.949, 0.752], [0.000, 0.000, 0.500], [0.000, 0.500, 0.000], [0.500, 0.000, 0.000], [0.500, 0.500, 0.500], [0.128, 0.191, 0.938], [0.128, 0.309, 0.438], [0.246, 0.695, 0.933], [0.246, 0.805, 0.433], [0.373, 0.056, 0.752], [0.373, 0.444, 0.252], [0.627, 0.556, 0.748], [0.627, 0.944, 0.248], [0.754, 0.195, 0.567], [0.754, 0.305, 0.067], [0.872, 0.691, 0.562], [0.872, 0.809, 0.062]], "dft_energy_ev_per_atom": -7.296, "sg": "P2_1/c, No. 14", "total_magnetization_mub_per_cell": 26.000, "density_g_cm3": 5.66}



7.
{"formula": "Mn2Cr3Sb3O16", "functional": "PBE with a Hubbard U", "state": "relaxed", "cell": [[5.278, -3.060, 0.000], [5.278, 3.060, 0.000], [-0.071, 0.000, 8.950]], "species": ["Mn", "Mn", "Cr", "Cr", "Cr", "Sb", "Sb", "Sb", "O", "O", "O", "O", "O", "O", "O", "O", "O", "O", "O", "O", "O", "O", "O", "O"], "fractional_positions": [[0.000, 0.000, 0.000], [0.669, 0.669, 0.483], [0.175, 0.682, 0.271], [0.513, 0.513, 0.767], [0.682, 0.175, 0.271], [0.010, 0.512, 0.767], [0.176, 0.176, 0.273], [0.512, 0.010, 0.767], [0.013, 0.013, 0.382], [0.171, 0.679, 0.875], [0.174, 0.174, 0.874], [0.288, 0.868, 0.131], [0.341, 0.341, 0.169], [0.343, 0.343, 0.657], [0.394, 0.818, 0.635], [0.512, 0.512, 0.382], [0.514, 0.993, 0.379], [0.679, 0.171, 0.875], [0.679, 0.679, 0.885], [0.818, 0.394, 0.635], [0.820, 0.820, 0.630], [0.867, 0.867, 0.138], [0.868, 0.288, 0.131], [0.993, 0.514, 0.379]], "dft_energy_ev_per_atom": -6.851, "sg": "Cm, No. 8", "total_magnetization_mub_per_cell": 15.000, "density_g_cm3": 5.10}



8.
{"formula": "ScMnCr2O6", "functional": "PBE with a Hubbard U", "state": "relaxed", "cell": [[5.139, 0.000, 0.000], [2.480, 4.526, 0.000], [2.457, 1.593, 4.640]], "species": ["Sc", "Mn", "Cr", "Cr", "O", "O", "O", "O", "O", "O"], "fractional_positions": [[0.000, 0.000, 0.000], [0.495, 0.491, 0.523], [0.292, 0.288, 0.129], [0.799, 0.793, 0.619], [0.069, 0.676, 0.850], [0.195, 0.575, 0.339], [0.413, 0.091, 0.816], [0.581, 0.890, 0.334], [0.676, 0.410, 0.825], [0.913, 0.173, 0.331]], "dft_energy_ev_per_atom": -8.075, "sg": "P1, No. 1", "total_magnetization_mub_per_cell": 10.000, "density_g_cm3": 4.61}



9.
{"formula": "MnCrSeO5", "functional": "PBE with a Hubbard U", "state": "relaxed", "cell": [[3.819, -4.286, 0.000], [3.819, 4.286, 0.000], [-2.171, 0.000, 5.722]], "species": ["Mn", "Mn", "Cr", "Cr", "Se", "Se", "O", "O", "O", "O", "O", "O", "O", "O", "O", "O"], "fractional_positions": [[0.000, 0.500, 0.000], [0.500, 0.000, 0.500], [0.017, 0.983, 0.750], [0.983, 0.017, 0.250], [0.425, 0.575, 0.750], [0.575, 0.425, 0.250], [0.124, 0.577, 0.758], [0.163, 0.221, 0.061], [0.217, 0.783, 0.250], [0.221, 0.163, 0.561], [0.423, 0.876, 0.742], [0.577, 0.124, 0.258], [0.779, 0.837, 0.439], [0.783, 0.217, 0.750], [0.837, 0.779, 0.939], [0.876, 0.423, 0.242]], "dft_energy_ev_per_atom": -6.455, "sg": "C2/c, No. 15", "total_magnetization_mub_per_cell": 12.215, "density_g_cm3": 4.71}



10.
{"formula": "MnCrSe2O8", "functional": "PBE with a Hubbard U", "state": "relaxed", "cell": [[-3.485, 3.485, 3.125], [3.485, -3.485, 3.125], [3.485, 3.485, -3.125]], "species": ["Mn", "Cr", "Se", "Se", "O", "O", "O", "O", "O", "O", "O", "O"], "fractional_positions": [[0.000, 0.000, 0.000], [0.250, 0.750, 0.500], [0.500, 0.500, 0.000], [0.750, 0.250, 0.500], [0.326, 0.142, 0.816], [0.326, 0.510, 0.184], [0.394, 0.080, 0.314], [0.490, 0.674, 0.816], [0.766, 0.080, 0.686], [0.858, 0.674, 0.184], [0.920, 0.234, 0.314], [0.920, 0.606, 0.686]], "dft_energy_ev_per_atom": -6.065, "sg": "I-4m2, No. 119", "total_magnetization_mub_per_cell": 9.000, "density_g_cm3": 4.30}



11.
{"formula": "MnCrSi2O", "functional": "PBE with a Hubbard U", "state": "relaxed", "cell": [[4.911, 0.000, 0.000], [0.000, 4.911, 0.000], [0.000, 0.000, 3.582]], "species": ["Mn", "Cr", "Si", "Si", "O"], "fractional_positions": [[0.000, 0.000, 0.000], [0.500, 0.500, 0.500], [0.000, 0.500, 0.000], [0.500, 0.000, 0.000], [0.000, 0.000, 0.500]], "dft_energy_ev_per_atom": -5.713, "sg": "P4/mmm, No. 123", "total_magnetization_mub_per_cell": 1.455, "density_g_cm3": 3.44}



12.
{"formula": "Mn2CrSiO6", "functional": "PBE with a Hubbard U", "state": "relaxed", "cell": [[5.066, 0.000, 0.000], [2.532, 4.393, 0.000], [2.528, 1.453, 4.396]], "species": ["Mn", "Mn", "Cr", "Si", "O", "O", "O", "O", "O", "O"], "fractional_positions": [[0.000, 0.000, 0.000], [0.482, 0.479, 0.563], [0.700, 0.697, 0.912], [0.207, 0.203, 0.390], [0.069, 0.399, 0.683], [0.300, 0.948, 0.197], [0.404, 0.851, 0.684], [0.563, 0.295, 0.193], [0.854, 0.065, 0.683], [0.956, 0.557, 0.193]], "dft_energy_ev_per_atom": -7.586, "sg": "P1, No. 1", "total_magnetization_mub_per_cell": 9.955, "density_g_cm3": 4.85}